# 1
Compound: TlBrCl2
Source: Alexandria
Functional: GGA-PBE
Structure: optimized geometry

a b c (Å): 5.150 5.150 22.692
angles (deg): 90.00 90.00 120.00
Fractional coordinates of all 12 atoms:
1 Tl 0.000 0.000 0.000
2 Tl 0.333 0.667 0.667
3 Tl 0.667 0.333 0.333
4 Br 0.000 0.000 0.500
5 Br 0.333 0.667 0.167
6 Br 0.667 0.333 0.833
7 Cl 0.000 0.000 0.393
8 Cl 0.000 0.000 0.607
9 Cl 0.333 0.667 0.060
10 Cl 0.333 0.667 0.273
11 Cl 0.667 0.333 0.727
12 Cl 0.667 0.333 0.940

SG = R-3m (166)
ΔE_f (raw) = -548 meV per atom
total DFT energy (no corrections) = -2.481 eV per atom
M_tot = 0.00 Bohr magnetons per cell
density of states at the Fermi level = 0.00 states/eV per cell
E above lowest polymorph = 48.3 meV/atom

# 2
Compound: Tl2BrCl
Source: Alexandria
Functional: GGA-PBE
Structure: optimized geometry

a b c (Å): 7.920 7.919 3.970
angles (deg): 90.00 90.13 90.00
Fractional coordinates of all 8 atoms:
1 Tl 0.250 0.250 0.000
2 Tl 0.250 0.750 0.000
3 Tl 0.750 0.250 0.000
4 Tl 0.750 0.750 0.000
5 Br 0.000 0.000 0.500
6 Br 0.500 0.500 0.500
7 Cl 0.000 0.500 0.500
8 Cl 0.500 0.000 0.500

SG = C2/m (12)
ΔE_f (raw) = -887 meV per atom
total DFT energy (no corrections) = -2.950 eV per atom
M_tot = 0.00 Bohr magnetons per cell
density of states at the Fermi level = 0.00 states/eV per cell
E above lowest polymorph = 50.5 meV/atom

# 3
Compound: Tl2BrCl
Source: Alexandria
Functional: GGA-PBE
Structure: optimized geometry

a b c (Å): 7.923 7.923 7.923
angles (deg): 90.00 90.00 90.00
Fractional coordinates of all 16 atoms:
1 Tl 0.250 0.250 0.250
2 Tl 0.250 0.250 0.750
3 Tl 0.250 0.750 0.250
4 Tl 0.250 0.750 0.750
5 Tl 0.750 0.250 0.250
6 Tl 0.750 0.250 0.750
7 Tl 0.750 0.750 0.250
8 Tl 0.750 0.750 0.750
9 Br 0.000 0.000 0.000
10 Br 0.000 0.500 0.500
11 Br 0.500 0.000 0.500
12 Br 0.500 0.500 0.000
13 Cl 0.000 0.000 0.500
14 Cl 0.000 0.500 0.000
15 Cl 0.500 0.000 0.000
16 Cl 0.500 0.500 0.500

SG = Fm-3m (225)
ΔE_f (raw) = -888 meV per atom
total DFT energy (no corrections) = -2.951 eV per atom
M_tot = 0.00 Bohr magnetons per cell
density of states at the Fermi level = 0.00 states/eV per cell
E above lowest polymorph = 49.3 meV/atom

# 4
Compound: Tl2Br2Cl
Source: Alexandria
Functional: GGA-PBE
Structure: optimized geometry

a b c (Å): 8.487 8.487 4.403
angles (deg): 90.00 90.00 90.00
Fractional coordinates of all 10 atoms:
1 Tl 0.185 0.315 0.000
2 Tl 0.315 0.815 0.000
3 Tl 0.685 0.185 0.000
4 Tl 0.815 0.685 0.000
5 Br 0.137 0.637 0.500
6 Br 0.363 0.137 0.500
7 Br 0.637 0.863 0.500
8 Br 0.863 0.363 0.500
9 Cl 0.000 0.000 0.000
10 Cl 0.500 0.500 0.000

SG = P4/mbm (127)
ΔE_f (raw) = -636 meV per atom
total DFT energy (no corrections) = -2.621 eV per atom
M_tot = 0.00 Bohr magnetons per cell
density of states at the Fermi level = 13.20 states/eV per cell

# 5
Compound: Tl5BrCl4
Source: Alexandria
Functional: GGA-PBE
Structure: optimized geometry

a b c (Å): 19.105 19.105 19.105
angles (deg): 13.92 13.92 13.92
Fractional coordinates of all 10 atoms:
1 Tl 0.000 0.000 0.000
2 Tl 0.202 0.202 0.202
3 Tl 0.399 0.399 0.399
4 Tl 0.601 0.601 0.601
5 Tl 0.798 0.798 0.798
6 Br 0.500 0.500 0.500
7 Cl 0.098 0.098 0.098
8 Cl 0.301 0.301 0.301
9 Cl 0.699 0.699 0.699
10 Cl 0.902 0.902 0.902

SG = R-3m (166)
ΔE_f (raw) = -984 meV per atom
total DFT energy (no corrections) = -3.073 eV per atom
M_tot = 0.00 Bohr magnetons per cell
density of states at the Fermi level = 0.00 states/eV per cell
E above lowest polymorph = 0.0 meV/atom

# 6
Compound: Tl5Br2Cl3
Source: Alexandria
Functional: GGA-PBE
Structure: optimized geometry

a b c (Å): 8.611 8.611 11.938
angles (deg): 124.91 124.91 30.46
Fractional coordinates of all 10 atoms:
1 Tl 0.000 0.000 0.000
2 Tl 0.096 0.096 0.411
3 Tl 0.292 0.292 0.199
4 Tl 0.708 0.708 0.801
5 Tl 0.904 0.904 0.589
6 Br 0.345 0.345 0.741
7 Br 0.655 0.655 0.259
8 Cl 0.116 0.116 0.866
9 Cl 0.500 0.500 0.500
10 Cl 0.884 0.884 0.134

SG = C2/m (12)
ΔE_f (raw) = -937 meV per atom
total DFT energy (no corrections) = -3.009 eV per atom
M_tot = 0.00 Bohr magnetons per cell
density of states at the Fermi level = 0.00 states/eV per cell

Q: Look up the ΔE_f (raw) of the fifth one.
A: -984 meV per atom

Q: Which of these has the highest ΔE_f (raw)?
A: TlBrCl2

Q: Which value of ΔE_f (raw) does entry 4 give?
A: -636 meV per atom